This record from Alexandria via LeMat-Bulk describes an optimized crystal structure of Cs2NaP. The functional is GGA-PBE.

Structure (CIF):
```
data_Cs2NaP
_cell_length_a 5.311
_cell_length_b 5.311
_cell_length_c 23.595
_cell_angle_alpha 90.00
_cell_angle_beta 90.00
_cell_angle_gamma 90.00
_symmetry_space_group_name_H-M 'I -4 2 d'
_symmetry_Int_Tables_number 122
_symmetry_space_group_name_Hall 'I -4 2bw'
loop_
_atom_site_label
_atom_site_type_symbol
_atom_site_fract_x
_atom_site_fract_y
_atom_site_fract_z
Cs1 Cs 0.244 0.250 0.125
Na1 Na 0.000 0.000 0.500
P1 P 0.000 0.000 0.000
```

Its density of states at the Fermi level is 2.9 states/eV/cell. As for the formation energy: 91 kJ/mol of formula units. The volume comes out at 665.5 Å³ per cell.